1.
Computed, not measured: a geometry-optimized Ca4CrAg structure at the PBE level of DFT.

Summary:
Calculated total energy (eV per formula unit): -16.3
Mass density (kg/m³): 2605
Fermi-level density of states (states/eV per atom): 1.1121

Cell and atoms, written as CIF:
```
data_Ca4CrAg
_chemical_formula_sum 'Ca16 Cr4 Ag4'
_cell_length_a 9.346
_cell_length_b 9.346
_cell_length_c 9.346
_cell_angle_alpha 90.00
_cell_angle_beta 90.00
_cell_angle_gamma 90.00
_symmetry_space_group_name_H-M 'F -4 3 m'
_symmetry_Int_Tables_number 216
_symmetry_space_group_name_Hall 'F -4 2 3'
loop_
_atom_site_label
_atom_site_fract_x
_atom_site_fract_y
_atom_site_fract_z
_atom_site_occupancy
Ca1 0.125 0.125 0.125 1
Cr1 0.250 0.250 0.750 1
Ag1 0.000 0.000 0.500 1
```

***

2.
Computed, not measured: a geometry-optimized CaCr2Ag structure at the PBE level of DFT.

Summary:
Calculated total energy (eV per formula unit): -20.0
Relative energy among the computed polymorphs (eV/f.u.): 2.82
Mass density (kg/m³): 6366
Fermi-level density of states (states/eV per atom): 1.7219

Cell and atoms, written as CIF:
```
data_CaCr2Ag
_chemical_formula_sum 'Ca1 Cr2 Ag1'
_cell_length_a 2.648
_cell_length_b 2.648
_cell_length_c 9.375
_cell_angle_alpha 90.00
_cell_angle_beta 90.00
_cell_angle_gamma 90.00
_symmetry_space_group_name_H-M 'P 4/m m m'
_symmetry_Int_Tables_number 123
_symmetry_space_group_name_Hall '-P 4 2'
loop_
_atom_site_label
_atom_site_fract_x
_atom_site_fract_y
_atom_site_fract_z
_atom_site_occupancy
Ca1 0.000 0.000 0.000 1
Cr1 0.500 0.500 0.270 1
Ag1 0.000 0.000 0.500 1
```

***

3.
Computed, not measured: a geometry-optimized Ca2CrAg structure at the PBE level of DFT.

Summary:
Calculated total energy (eV per formula unit): -14.7
Relative energy among the computed polymorphs (eV/f.u.): 1.14
Mass density (kg/m³): 3620
Fermi-level density of states (states/eV per atom): 0.7643

Cell and atoms, written as CIF:
```
data_Ca2CrAg
_chemical_formula_sum 'Ca8 Cr4 Ag4'
_cell_length_a 8.279
_cell_length_b 8.279
_cell_length_c 6.426
_cell_angle_alpha 90.00
_cell_angle_beta 90.00
_cell_angle_gamma 90.00
_symmetry_space_group_name_H-M 'I -4 2 d'
_symmetry_Int_Tables_number 122
_symmetry_space_group_name_Hall 'I -4 2bw'
loop_
_atom_site_label
_atom_site_fract_x
_atom_site_fract_y
_atom_site_fract_z
_atom_site_occupancy
Ca1 0.233 0.250 0.125 1
Cr1 0.000 0.000 0.500 1
Ag1 0.000 0.000 0.000 1
```

***

4.
Computed, not measured: a geometry-optimized CaCrAg3 structure at the PBE level of DFT.

Summary:
Calculated total energy (eV per formula unit): -17.8
Relative energy among the computed polymorphs (eV/f.u.): 0.00
Mass density (kg/m³): 5365
Fermi-level density of states (states/eV per atom): 0.3791

Cell and atoms, written as CIF:
```
data_CaCrAg3
_chemical_formula_sum 'Ca1 Cr1 Ag3'
_cell_length_a 5.048
_cell_length_b 5.048
_cell_length_c 5.048
_cell_angle_alpha 90.00
_cell_angle_beta 90.00
_cell_angle_gamma 90.00
_symmetry_space_group_name_H-M 'P m -3 m'
_symmetry_Int_Tables_number 221
_symmetry_space_group_name_Hall '-P 4 2 3'
loop_
_atom_site_label
_atom_site_fract_x
_atom_site_fract_y
_atom_site_fract_z
_atom_site_occupancy
Ca1 0.000 0.000 0.000 1
Cr1 0.500 0.500 0.500 1
Ag1 0.000 0.500 0.500 1
```

***

5.
Computed, not measured: a geometry-optimized Ca2CrAg structure at the PBE level of DFT.

Summary:
Calculated total energy (eV per formula unit): -15.5
Relative energy among the computed polymorphs (eV/f.u.): 0.28
Mass density (kg/m³): 3618
Fermi-level density of states (states/eV per atom): 0.8087

Cell and atoms, written as CIF:
```
data_Ca2CrAg
_chemical_formula_sum 'Ca2 Cr1 Ag1'
_cell_length_a 3.686
_cell_length_b 3.686
_cell_length_c 8.108
_cell_angle_alpha 90.00
_cell_angle_beta 90.00
_cell_angle_gamma 90.00
_symmetry_space_group_name_H-M 'P 4 m m'
_symmetry_Int_Tables_number 99
_symmetry_space_group_name_Hall 'P 4 -2'
loop_
_atom_site_label
_atom_site_fract_x
_atom_site_fract_y
_atom_site_fract_z
_atom_site_occupancy
Ca1 0.000 0.000 0.000 1
Ca2 0.500 0.500 0.367 1
Cr1 0.000 0.000 0.614 1
Ag1 0.500 0.500 0.764 1
```

***

6.
Computed, not measured: a geometry-optimized CaCrAg2 structure at the PBE level of DFT.

Summary:
Calculated total energy (eV per formula unit): -15.1
Relative energy among the computed polymorphs (eV/f.u.): 1.67
Mass density (kg/m³): 6774
Fermi-level density of states (states/eV per atom): 0.6116

Cell and atoms, written as CIF:
```
data_CaCrAg2
_chemical_formula_sum 'Ca1 Cr1 Ag2'
_cell_length_a 2.952
_cell_length_b 2.952
_cell_length_c 8.659
_cell_angle_alpha 90.00
_cell_angle_beta 90.00
_cell_angle_gamma 90.00
_symmetry_space_group_name_H-M 'P 4 m m'
_symmetry_Int_Tables_number 99
_symmetry_space_group_name_Hall 'P 4 -2'
loop_
_atom_site_label
_atom_site_fract_x
_atom_site_fract_y
_atom_site_fract_z
_atom_site_occupancy
Ca1 0.000 0.000 0.000 1
Cr1 0.500 0.500 0.261 1
Ag1 0.000 0.000 0.471 1
Ag2 0.500 0.500 0.713 1
```

***

7.
Computed, not measured: a geometry-optimized CaCrAg2 structure at the PBE level of DFT.

Summary:
Calculated total energy (eV per formula unit): -16.7
Relative energy among the computed polymorphs (eV/f.u.): 0.00
Mass density (kg/m³): 6035
Fermi-level density of states (states/eV per atom): 0.6297

Cell and atoms, written as CIF:
```
data_CaCrAg2
_chemical_formula_sum 'Ca4 Cr4 Ag8'
_cell_length_a 6.971
_cell_length_b 6.971
_cell_length_c 6.971
_cell_angle_alpha 90.00
_cell_angle_beta 90.00
_cell_angle_gamma 90.00
_symmetry_space_group_name_H-M 'F m -3 m'
_symmetry_Int_Tables_number 225
_symmetry_space_group_name_Hall '-F 4 2 3'
loop_
_atom_site_label
_atom_site_fract_x
_atom_site_fract_y
_atom_site_fract_z
_atom_site_occupancy
Ca1 0.000 0.000 0.000 1
Cr1 0.000 0.000 0.500 1
Ag1 0.250 0.250 0.250 1
```

***

8.
Computed, not measured: a geometry-optimized Ca2CrAg structure at the PBE level of DFT.

Summary:
Calculated total energy (eV per formula unit): -14.8
Relative energy among the computed polymorphs (eV/f.u.): 1.00
Mass density (kg/m³): 3552
Fermi-level density of states (states/eV per atom): 0.7104

Cell and atoms, written as CIF:
```
data_Ca2CrAg
_chemical_formula_sum 'Ca4 Cr2 Ag2'
_cell_length_a 9.480
_cell_length_b 3.523
_cell_length_c 6.814
_cell_angle_alpha 90.00
_cell_angle_beta 99.56
_cell_angle_gamma 90.00
_symmetry_space_group_name_H-M 'C 1 2/m 1'
_symmetry_Int_Tables_number 12
_symmetry_space_group_name_Hall '-C 2y'
loop_
_atom_site_label
_atom_site_fract_x
_atom_site_fract_y
_atom_site_fract_z
_atom_site_occupancy
Ca1 0.243 0.000 0.245 1
Cr1 0.000 0.000 0.500 1
Ag1 0.000 0.500 0.000 1
```

***

Please write out number 7 again, unchanged.
Computed, not measured: a geometry-optimized CaCrAg2 structure at the PBE level of DFT.

Summary:
Calculated total energy (eV per formula unit): -16.7
Relative energy among the computed polymorphs (eV/f.u.): 0.00
Mass density (kg/m³): 6035
Fermi-level density of states (states/eV per atom): 0.6297

Cell and atoms, written as CIF:
```
data_CaCrAg2
_chemical_formula_sum 'Ca4 Cr4 Ag8'
_cell_length_a 6.971
_cell_length_b 6.971
_cell_length_c 6.971
_cell_angle_alpha 90.00
_cell_angle_beta 90.00
_cell_angle_gamma 90.00
_symmetry_space_group_name_H-M 'F m -3 m'
_symmetry_Int_Tables_number 225
_symmetry_space_group_name_Hall '-F 4 2 3'
loop_
_atom_site_label
_atom_site_fract_x
_atom_site_fract_y
_atom_site_fract_z
_atom_site_occupancy
Ca1 0.000 0.000 0.000 1
Cr1 0.000 0.000 0.500 1
Ag1 0.250 0.250 0.250 1
```

***

Which value of mass density does entry 4 give?
5365 kg/m³

***

Please write out number 3 again, unchanged.
Computed, not measured: a geometry-optimized Ca2CrAg structure at the PBE level of DFT.

Summary:
Calculated total energy (eV per formula unit): -14.7
Relative energy among the computed polymorphs (eV/f.u.): 1.14
Mass density (kg/m³): 3620
Fermi-level density of states (states/eV per atom): 0.7643

Cell and atoms, written as CIF:
```
data_Ca2CrAg
_chemical_formula_sum 'Ca8 Cr4 Ag4'
_cell_length_a 8.279
_cell_length_b 8.279
_cell_length_c 6.426
_cell_angle_alpha 90.00
_cell_angle_beta 90.00
_cell_angle_gamma 90.00
_symmetry_space_group_name_H-M 'I -4 2 d'
_symmetry_Int_Tables_number 122
_symmetry_space_group_name_Hall 'I -4 2bw'
loop_
_atom_site_label
_atom_site_fract_x
_atom_site_fract_y
_atom_site_fract_z
_atom_site_occupancy
Ca1 0.233 0.250 0.125 1
Cr1 0.000 0.000 0.500 1
Ag1 0.000 0.000 0.000 1
```